Here is crystalline Cs2WF at its relaxed geometry from the Alexandria database. Energies are from GGA+U.

abc: 7.9665 7.9665 7.9665
angles: 113.26 113.26 102.13
Closest atoms and distances in Å follow each position.
Atoms (fractional coordinates):
Cs 0.0234 0.1250 0.3984  2 F 2.84
Cs 0.3750 0.9766 0.1016  2 F 2.84
Cs 0.7266 0.6250 0.6016  2 F 2.84
Cs 0.8750 0.2734 0.8984  2 F 2.84
W 0.2500 0.7500 0.5000  4 Cs 3.98
W 0.5000 0.5000 0.0000  4 Cs 3.98
F 0.0000 0.0000 0.0000  4 Cs 2.84
F 0.7500 0.2500 0.5000  4 Cs 2.84

Values from the calculation:
- E_tot: -3.045 eV/atom